Record 1
First-principles (PBE) data for a geometry-optimized RbFeSb structure, as listed in OQMD via LeMat-Bulk.

Values from the calculation:
**Calculated total energy**: -3.82 eV/atom
**V**: 29.69 Å³/atom

a = 5.0126 Å, b = 5.0126 Å, c = 5.0126 Å
α = 60.00°, β = 60.00°, γ = 60.00°
Atoms (fractional coordinates):
Fe (0.0000, 0.0000, 0.0000)
Rb (0.2500, 0.2500, 0.2500)
Sb (0.7500, 0.7500, 0.7500)

***

Record 2
First-principles (PBE) data for a geometry-optimized RbFe3Sb5 structure, as listed in OQMD via LeMat-Bulk.

Values from the calculation:
**Calculated total energy**: -5.26 eV/atom
**V**: 25.63 Å³/atom

a = 5.4055 Å, b = 5.4055 Å, c = 9.1163 Å
α = 90.00°, β = 90.00°, γ = 120.00°
Site moments in Bohr magnetons follow the coordinates.
Atoms (fractional coordinates):
Fe (0.5000, 0.0000, 0.5000)  2.28
Sb (0.6667, 0.3333, 0.7398)  -0.04
Sb (0.3333, 0.6667, 0.2602)  -0.04
Fe (0.5000, 0.5000, 0.5000)  2.40
Sb (0.0000, 0.0000, 0.5000)  0.04
Fe (0.0000, 0.5000, 0.5000)  1.95
Sb (0.6667, 0.3333, 0.2602)  -0.04
Rb (0.0000, 0.0000, 0.0000)  0.01
Sb (0.3333, 0.6667, 0.7398)  -0.04

***

Record 3
First-principles (PBE) data for a geometry-optimized RbFe2Se3 structure, as listed in OQMD via LeMat-Bulk.

Values from the calculation:
**Calculated total energy**: -5.14 eV/atom
**V**: 22.59 Å³/atom

a = 8.6342 Å, b = 3.6559 Å, c = 9.4836 Å
α = 90.00°, β = 115.09°, γ = 90.00°
Site moments in Bohr magnetons follow the coordinates.
Atoms (fractional coordinates):
Se (0.8604, 0.7500, 0.8775)  -0.06
Se (0.1396, 0.2500, 0.1225)  -0.06
Se (0.7727, 0.2500, 0.1352)  0.01
Rb (0.5147, 0.7500, 0.2587)  0.01
Se (0.2273, 0.7500, 0.8648)  0.01
Se (0.8203, 0.2500, 0.5606)  0.02
Fe (0.0216, 0.7500, 0.6066)  2.73
Rb (0.4853, 0.2500, 0.7413)  0.01
Fe (0.0268, 0.2500, 0.8384)  0.82
Fe (0.9784, 0.2500, 0.3934)  2.73
Fe (0.9732, 0.7500, 0.1616)  0.82
Se (0.1797, 0.7500, 0.4394)  0.02